No. 1
The following is a DFT calculation (PBE-GGA) of crystalline Nd4Ho3Er8 at its relaxed geometry.

Properties
DFT formation energy	121	meV/atom
E	-0.1654	hartree per atom
total magnetic moment	0.0	μB/cell
theoretical density	8.2	g/cm³
volume	489.3	Å³/f.u.

Unit cell a=6.9264 b=6.9264 c=35.3323 alpha=90.00 beta=90.00 gamma=120.00
With the nearest neighbours (Å) after each atom.
Space group R-3m (No. 166, hexagonal axes)
Inequivalent atoms, fractional coordinates:
Nd 0.0000 0.0000 0.0000  6 Ho 3.46, 6 Er 3.53
Nd 0.0000 0.0000 0.1634  4 Er 3.25-3.51
Nd 0.0000 0.0000 0.5000  6 Er 3.59, 6 Nd 4.00
Ho 0.0000 0.5000 0.0000  6 Er 3.40-3.52, 4 Ho 3.46, 2 Nd 3.46
Er 0.0000 0.0000 0.2555  1 Nd 3.25, 3 Ho 3.40, 6 Er 3.47
Er 0.0019 0.5009 0.2513  6 Er 3.44-3.48, 3 Nd 3.51-3.59, 2 Ho 3.52

=====

No. 2
The following is a DFT calculation (PBE-GGA) of crystalline NdHo5Er5 at its relaxed geometry.

Properties
DFT formation energy	142	meV/atom
E	-0.1634	hartree per atom
total magnetic moment	0.0	μB/cell
theoretical density	8.4	g/cm³
volume	355.4	Å³/f.u.

Unit cell a=6.7750 b=6.9413 c=8.2464 alpha=76.52 beta=77.02 gamma=72.92
With the nearest neighbours (Å) after each atom.
Space group P-1 (No. 2)
Inequivalent atoms, fractional coordinates:
Nd 0.0000 0.0000 0.0000  6 Ho 3.47-3.58, 4 Er 3.50-3.67
Ho 0.0000 0.5000 0.0000  6 Er 3.35-3.43, 2 Nd 3.47, 4 Ho 3.66-3.73
Ho 0.1578 0.6286 0.3585  3 Ho 3.33-3.73, 7 Er 3.41-3.66, 1 Nd 3.57
Ho 0.3239 0.7640 0.6556  7 Er 3.26-3.59, 1 Ho 3.33, 1 Nd 3.58
Er 0.2106 0.1378 0.3182  1 Er 3.37, 7 Ho 3.39-3.59, 1 Nd 3.67
Er 0.3534 0.2499 0.7150  7 Ho 3.34-3.66, 2 Er 3.37-3.67, 1 Nd 3.50
Er 0.5000 0.5000 0.0000  6 Ho 3.26-3.44

=====

No. 3
The following is a DFT calculation (PBE-GGA) of crystalline Nd5Ho3Er at its relaxed geometry.

Properties
DFT formation energy	273	meV/atom
E	-0.1620	hartree per atom
total magnetic moment	0.1	μB/cell
theoretical density	7.4	g/cm³
volume	312.1	Å³/f.u.

Unit cell a=20.0742 b=6.3061 c=11.8039 alpha=90.00 beta=123.34 gamma=90.00
With the nearest neighbours (Å) after each atom.
Space group C2/c (No. 15)
Inequivalent atoms, fractional coordinates:
Nd 0.0000 0.0972 0.2500  2 Er 3.10-3.21
Nd 0.1360 0.1631 0.6575  2 Ho 3.14-3.50
Nd 0.1807 0.3289 0.3300  4 Ho 3.42-3.74, 5 Nd 3.52-3.63, 1 Er 3.65
Ho 0.0000 0.5000 0.0000  2 Er 3.03, 2 Nd 3.14
Ho 0.1764 0.2826 0.0275  1 Er 3.32, 2 Ho 3.38-3.64, 4 Nd 3.42-3.57
Er 0.0000 0.3945 0.7500  4 Ho 3.03-3.32, 2 Nd 3.10-3.21

=====

No. 4
The following is a DFT calculation (PBE-GGA) of crystalline Nd7Ho2Er3 at its relaxed geometry.

Properties
DFT formation energy	282	meV/atom
E	-0.1618	hartree per atom
total magnetic moment	0.0	μB/cell
theoretical density	7.2	g/cm³
volume	427.0	Å³/f.u.

Unit cell a=6.2968 b=5.5191 c=12.2865 alpha=90.00 beta=90.09 gamma=90.00
With the nearest neighbours (Å) after each atom.
Space group P2/m (No. 10)
Inequivalent atoms, fractional coordinates:
Nd 0.0000 0.0000 0.0000  6 Nd 3.52-3.59
Nd 0.0906 0.5000 0.1722  2 Ho 3.25-3.54, 3 Er 3.34-3.61, 5 Nd 3.52-3.61
Nd 0.2450 0.5000 0.4553  2 Ho 3.21-3.41, 2 Nd 3.28-3.39
Nd 0.4435 0.0000 0.1844  2 Ho 3.17, 2 Nd 3.55
Ho 0.3844 0.5000 0.7240  6 Nd 3.17-3.54, 3 Er 3.47-3.51
Er 0.0669 0.0000 0.6563  2 Ho 3.51, 8 Nd 3.61-3.87
Er 0.5000 0.5000 0.0000  6 Nd 3.34-3.59, 2 Ho 3.47

=====

No. 5
The following is a DFT calculation (PBE-GGA) of crystalline NdHo2Er12 at its relaxed geometry.

Properties
DFT formation energy	115	meV/atom
E	-0.1640	hartree per atom
total magnetic moment	0.0	μB/cell
theoretical density	8.8	g/cm³
volume	469.2	Å³/f.u.

Unit cell a=7.0622 b=11.0425 c=24.1270 alpha=90.00 beta=94.08 gamma=90.00
With the nearest neighbours (Å) after each atom.
Space group C2/m (No. 12)
Inequivalent atoms, fractional coordinates:
Nd 0.2500 0.0000 0.0000  2 Er 3.34, 2 Nd 3.53
Ho 0.0683 0.0000 0.2725  2 Ho 3.53-3.54, 10 Er 3.56-3.69
Ho 0.0676 0.5000 0.2724  2 Ho 3.53-3.54, 10 Er 3.57-3.68
Er 0.0193 0.2498 0.0758  9 Er 3.53-3.65, 4 Nd 3.75-3.76
Er 0.1120 0.2496 0.4452  10 Er 3.17-3.53
Er 0.1432 0.0000 0.5737  8 Er 3.31-3.58
Er 0.1426 0.5000 0.5745  8 Er 3.31-3.58
Er 0.1669 0.2496 0.6688  3 Er 3.09-3.27
Er 0.1999 0.2502 0.7973  3 Er 3.09-3.16
Er 0.2146 0.0000 0.8611  4 Er 3.16-3.53, 1 Nd 3.34
Er 0.2146 0.5000 0.8612  4 Er 3.16-3.53, 1 Nd 3.34

=====

No. 6
The following is a DFT calculation (PBE-GGA) of crystalline NdHo8Er6 at its relaxed geometry.

Properties
DFT formation energy	230	meV/atom
E	-0.1600	hartree per atom
total magnetic moment	0.0	μB/cell
theoretical density	8.4	g/cm³
volume	488.9	Å³/f.u.

Unit cell a=9.3621 b=9.3621 c=6.4413 alpha=90.00 beta=90.00 gamma=120.00
With the nearest neighbours (Å) after each atom.
Space group P-3 (No. 147)
Inequivalent atoms, fractional coordinates:
Nd 0.0000 0.0000 0.0000  6 Er 3.58
Ho 0.0250 0.6867 0.5943  4 Er 3.20-3.56, 5 Ho 3.29-3.50
Ho 0.3333 0.6667 0.3324  6 Ho 3.37-3.43, 3 Er 3.55
Er 0.0974 0.4166 0.9098  1 Er 3.16, 3 Ho 3.20-3.42